Record 1
Entry from Alexandria via LeMat-Bulk: crystalline Pm10Sb3Te3 at its relaxed geometry (PBE).

Calculated values
Space-group type ... P-62m, No. 189
Total DFT energy (no corrections) ... -5.360 eV/atom

Geometry as CIF:
```
data_Pm10Sb3Te3
_chemical_formula_sum 'Pm10 Sb3 Te3'
_space_group_name_H-M_alt 'P 1'
_space_group_IT_number 1
_space_group_name_Hall 'P 1'
_cell_length_a 6.390
_cell_length_b 9.273
_cell_length_c 9.273
_cell_angle_alpha 120.00
_cell_angle_beta 90.00
_cell_angle_gamma 90.00
loop_
_atom_site_label
_atom_site_type_symbol
_atom_site_fract_x
_atom_site_fract_y
_atom_site_fract_z
Pm1 Pm 0.752 0.333 0.667
Sb1 Sb 0.000 0.000 0.614
Sb2 Sb 0.000 0.386 0.386
Te1 Te 0.500 0.615 0.615
Pm2 Pm 0.500 0.746 0.000
Pm3 Pm 0.752 0.667 0.333
Sb3 Sb 0.000 0.614 0.000
Pm4 Pm 0.248 0.667 0.333
Pm5 Pm 0.000 0.747 0.747
Pm6 Pm 0.500 0.254 0.254
Pm7 Pm 0.248 0.333 0.667
Pm8 Pm 0.000 0.000 0.253
Pm9 Pm 0.000 0.253 0.000
Te2 Te 0.500 0.385 0.000
Te3 Te 0.500 0.000 0.385
Pm10 Pm 0.500 0.000 0.746
```

Record 2
Entry from Alexandria via LeMat-Bulk: crystalline CeGe2PdRh5 at its relaxed geometry (PBE).

Calculated values
Calculated formation energy ... -0.34 eV/atom
Space-group type ... P4/mmm, No. 123

Geometry as CIF:
```
data_CeGe2PdRh5
_chemical_formula_sum 'Ce1 Ge2 Pd1 Rh5'
_space_group_name_H-M_alt 'P 1'
_space_group_IT_number 1
_space_group_name_Hall 'P 1'
_cell_length_a 4.044
_cell_length_b 4.044
_cell_length_c 9.223
_cell_angle_alpha 90.00
_cell_angle_beta 90.00
_cell_angle_gamma 90.00
loop_
_atom_site_label
_atom_site_type_symbol
_atom_site_fract_x
_atom_site_fract_y
_atom_site_fract_z
Ge1 Ge 0.500 0.500 0.871
Ce1 Ce 0.000 0.000 0.500
Rh1 Rh 0.500 0.500 0.500
Rh2 Rh 0.000 0.500 0.723
Rh3 Rh 0.500 0.000 0.723
Rh4 Rh 0.500 0.000 0.277
Ge2 Ge 0.500 0.500 0.129
Pd1 Pd 0.000 0.000 0.000
Rh5 Rh 0.000 0.500 0.277
```

Record 3
Entry from Alexandria via LeMat-Bulk: crystalline Ce3DyRu8 at its relaxed geometry (PBE).

Calculated values
Calculated formation energy ... -0.28 eV/atom
Space-group type ... R3m, No. 160

Geometry as CIF:
```
data_Ce3DyRu8
_chemical_formula_sum 'Ce3 Dy1 Ru8'
_space_group_name_H-M_alt 'P 1'
_space_group_IT_number 1
_space_group_name_Hall 'P 1'
_cell_length_a 5.349
_cell_length_b 5.349
_cell_length_c 9.290
_cell_angle_alpha 73.27
_cell_angle_beta 73.27
_cell_angle_gamma 60.00
loop_
_atom_site_label
_atom_site_type_symbol
_atom_site_fract_x
_atom_site_fract_y
_atom_site_fract_z
Ru1 Ru 0.938 0.938 0.685
Ru2 Ru 0.438 0.438 0.190
Ru3 Ru 0.688 0.688 0.937
Ru4 Ru 0.188 0.188 0.436
Ce1 Ce 0.001 0.001 0.997
Ce2 Ce 0.499 0.499 0.504
Ru5 Ru 0.938 0.439 0.685
Ru6 Ru 0.439 0.938 0.685
Ce3 Ce 0.374 0.374 0.878
Ru7 Ru 0.935 0.438 0.190
Dy1 Dy 0.876 0.876 0.373
Ru8 Ru 0.438 0.935 0.190
```

Record 4
Entry from Alexandria via LeMat-Bulk: crystalline YMnOs2 at its relaxed geometry (PBE).

Calculated values
Calculated formation energy ... 0.36 eV/atom
Space-group type ... Fm-3m, No. 225
Offset from the most stable computed form ... 220.3 meV/atom

Geometry as CIF:
```
data_YMnOs2
_chemical_formula_sum 'Y1 Mn1 Os2'
_space_group_name_H-M_alt 'P 1'
_space_group_IT_number 1
_space_group_name_Hall 'P 1'
_cell_length_a 4.551
_cell_length_b 4.551
_cell_length_c 4.551
_cell_angle_alpha 60.00
_cell_angle_beta 60.00
_cell_angle_gamma 60.00
loop_
_atom_site_label
_atom_site_type_symbol
_atom_site_fract_x
_atom_site_fract_y
_atom_site_fract_z
Mn1 Mn 0.000 0.000 0.000
Os1 Os 0.750 0.750 0.750
Y1 Y 0.500 0.500 0.500
Os2 Os 0.250 0.250 0.250
```

| no. | calculated volume (Å³/atom) |
| --- | --- |
| 1 | 29.7 |
| 2 | 16.8 |
| 3 | 18.1 |
| 4 | 16.7 |